{
  "formula": "YZr3Nb",
  "functional": "GGA-PBE",
  "state": "relaxed",
  "ef_ev_per_atom": 0.608,
  "e_tot_ev_per_atom": -7.828,
  "lattice_angstrom": [[-4.027, 2.310, 2.286], [-1.049, -4.369, 2.566], [3.076, 1.533, 3.868]],
  "species": ["Nb", "Zr", "Zr", "Zr", "Y"],
  "frac_coords": [[0.000, 0.000, 0.000], [0.500, 0.000, 0.000], [0.000, 0.000, 0.500], [0.000, 0.500, 0.000], [0.500, 0.500, 0.500]]
}



{
  "formula": "NbSb2RhI",
  "functional": "GGA-PBE",
  "state": "relaxed",
  "polymorph_energy_ev_per_atom": 0.265,
  "e_form_raw_ev_per_atom": 0.928,
  "e_tot_ev_per_atom": -4.516,
  "lattice_angstrom": [[5.063, 0.000, 0.000], [0.000, 5.063, 0.000], [0.000, 0.000, 5.290]],
  "species": ["Rh", "I", "Sb", "Nb", "Sb"],
  "frac_coords": [[0.000, 0.000, 0.000], [0.000, 0.000, 0.500], [0.500, 0.000, 0.000], [0.500, 0.500, 0.500], [0.000, 0.500, 0.000]]
}



{
  "formula": "NbTeO4",
  "functional": "GGA-PBE",
  "state": "relaxed",
  "e_form_raw_ev_per_atom": -1.612,
  "e_tot_ev_per_atom": -7.120,
  "lattice_angstrom": [[-5.777, -1.300, 0.772], [2.531, -3.754, -3.894], [2.799, -0.507, 5.251]],
  "species": ["Nb", "O", "Te", "O", "O", "Te", "Nb", "O", "O", "O", "O", "O"],
  "frac_coords": [[0.771, 0.771, 0.000], [0.764, 0.973, 0.791], [0.274, 0.274, 0.000], [0.723, 0.014, 0.291], [0.254, 0.567, 0.313], [0.024, 0.524, 0.500], [0.521, 0.021, 0.500], [0.317, 0.504, 0.813], [0.691, 0.504, 0.187], [0.254, 0.941, 0.687], [0.182, 0.973, 0.209], [0.723, 0.432, 0.709]]
}



{
  "formula": "ScBF2",
  "functional": "GGA-PBE",
  "state": "relaxed",
  "polymorph_energy_ev_per_atom": 0.598,
  "e_form_raw_ev_per_atom": -0.705,
  "e_tot_ev_per_atom": -4.893,
  "lattice_angstrom": [[2.018, 0.000, 6.415], [-1.009, 1.747, 6.415], [-1.009, -1.747, 6.415]],
  "species": ["F", "Sc", "F", "B"],
  "frac_coords": [[0.103, 0.103, 0.103], [0.000, 0.000, 0.000], [0.897, 0.897, 0.897], [0.500, 0.500, 0.500]]
}



{
  "formula": "Ac2AlSn4Pt3",
  "functional": "GGA-PBE",
  "state": "relaxed",
  "ef_ev_per_atom": -0.813,
  "e_tot_ev_per_atom": -5.422,
  "lattice_angstrom": [[-1.404, -4.053, 1.617], [1.076, -1.968, -3.998], [10.555, -2.109, 3.879]],
  "species": ["Sn", "Sn", "Sn", "Sn", "Pt", "Pt", "Ac", "Ac", "Al", "Pt"],
  "frac_coords": [[0.500, 0.000, 0.636], [0.500, 0.500, 0.000], [0.000, 0.000, 0.000], [0.000, 0.500, 0.364], [0.000, 0.500, 0.132], [0.500, 0.000, 0.868], [0.500, 0.000, 0.250], [0.000, 0.500, 0.750], [0.500, 0.500, 0.500], [0.000, 0.000, 0.500]]
}



{
  "formula": "SrCdNi2",
  "functional": "GGA-PBE",
  "state": "relaxed",
  "ef_ev_per_atom": 0.371,
  "e_tot_ev_per_atom": -3.169,
  "lattice_angstrom": [[4.817, 0.000, 0.000], [2.409, 4.172, 0.000], [2.409, 1.391, 3.933]],
  "species": ["Cd", "Ni", "Sr", "Ni"],
  "frac_coords": [[0.500, 0.500, 0.500], [0.250, 0.250, 0.250], [0.750, 0.750, 0.750], [0.000, 0.000, 0.000]]
}